(1)
VASP calculation (GGA-PBE) on a geometry-optimized La3ErCu4 structure.

```
8
Lattice="3.584 0.000 0.000 0.000 3.584 0.000 0.000 0.000 14.506" Properties=species:S:1:pos:R:3 pbc="T T T"
La 0.000 0.000 0.000
La 0.000 0.000 3.727
La 0.000 0.000 10.780
Er 0.000 0.000 7.253
Cu 1.792 1.792 1.854
Cu 1.792 1.792 5.723
Cu 1.792 1.792 8.783
Cu 1.792 1.792 12.652
```

## Properties
density of states at the Fermi level	6.47	states/eV/f.u.
space-group type	P4/mmm
calculated density	7469	kg/m³
total moment	0.0	μB/cell
ΔH_f (0 K)	-167	meV/atom
final energy	-37.1	eV for the cell shown


(2)
VASP calculation (GGA-PBE) on a geometry-optimized LaEr2Cu structure.

```
4
Lattice="3.507 0.000 0.000 0.000 3.507 0.000 0.000 0.000 8.797" Properties=species:S:1:pos:R:3 pbc="T T T"
La 0.000 0.000 0.000
Er 1.753 1.753 2.756
Er 1.753 1.753 6.041
Cu 0.000 0.000 4.398
```

## Properties
density of states at the Fermi level	3.93	states/eV/f.u.
space-group type	P4/mmm
calculated density	8243	kg/m³
total moment	0.0	μB/cell
ΔH_f (0 K)	-105	meV/atom
final energy	-18.6	eV for the cell shown
energy above the lowest structure with this stoichiometry	0.0	meV per atom


(3)
VASP calculation (GGA-PBE) on a geometry-optimized La2ErCu4 structure.

```
7
Lattice="-2.613 2.613 5.977 2.613 -2.613 5.977 2.613 2.613 -5.977" Properties=species:S:1:pos:R:3 pbc="T T T"
La 0.000 0.000 2.431
La 0.000 0.000 9.523
Er 0.000 0.000 5.977
Cu 2.613 0.000 1.259
Cu 2.613 0.000 4.718
Cu 0.000 2.613 1.259
Cu 0.000 2.613 4.718
```

## Properties
density of states at the Fermi level	7.32	states/eV/f.u.
space-group type	I4/mmm
calculated density	7112	kg/m³
total moment	0.0	μB/cell
ΔH_f (0 K)	-12	meV/atom
final energy	-30.9	eV for the cell shown


(4)
VASP calculation (GGA-PBE) on a geometry-optimized LaErCu4 structure.

```
6
Lattice="-1.963 1.963 7.711 1.963 -1.963 7.711 1.963 1.963 -7.711" Properties=species:S:1:pos:R:3 pbc="T T T"
La 0.000 0.000 0.000
Er 0.000 1.963 3.856
Cu 1.963 0.000 2.660
Cu 1.963 0.000 5.051
Cu 0.000 0.000 6.427
Cu 0.000 0.000 8.995
```

## Properties
density of states at the Fermi level	2.90	states/eV/f.u.
space-group type	I-4m2
calculated density	7831	kg/m³
total moment	0.0	μB/cell
ΔH_f (0 K)	-208	meV/atom
final energy	-27.1	eV for the cell shown
energy above the lowest structure with this stoichiometry	0.0	meV per atom


(5)
VASP calculation (GGA-PBE) on a geometry-optimized La2ErCu structure.

```
4
Lattice="3.709 0.000 0.000 0.000 3.709 0.000 0.000 0.000 8.552" Properties=species:S:1:pos:R:3 pbc="T T T"
La 0.000 0.000 1.757
La 0.000 0.000 6.795
Er 1.854 1.854 4.276
Cu 1.854 1.854 0.000
```

## Properties
density of states at the Fermi level	6.31	states/eV/f.u.
space-group type	P4/mmm
calculated density	7179	kg/m³
total moment	0.0	μB/cell
ΔH_f (0 K)	-32	meV/atom
final energy	-18.6	eV for the cell shown
energy above the lowest structure with this stoichiometry	0.0	meV per atom


(6)
VASP calculation (GGA-PBE) on a geometry-optimized La2ErCu structure.

```
4
Lattice="1.869 1.079 10.031 -1.869 1.079 10.031 0.000 -2.159 10.031" Properties=species:S:1:pos:R:3 pbc="T T T"
La 0.000 0.000 0.000
La 0.000 0.000 5.792
Er 0.000 0.000 22.987
Cu 0.000 0.000 17.922
```

## Properties
density of states at the Fermi level	4.45	states/eV/f.u.
space-group type	R3m
calculated density	6955	kg/m³
total moment	0.0	μB/cell
ΔH_f (0 K)	68	meV/atom
final energy	-18.2	eV for the cell shown
energy above the lowest structure with this stoichiometry	99.9	meV per atom


(7)
VASP calculation (GGA-PBE) on a geometry-optimized LaEr2Cu structure.

```
4
Lattice="1.851 1.069 9.716 -1.851 1.069 9.716 0.000 -2.138 9.716" Properties=species:S:1:pos:R:3 pbc="T T T"
La 0.000 0.000 0.000
Er 0.000 0.000 16.363
Er 0.000 0.000 22.382
Cu 0.000 0.000 4.779
```

## Properties
density of states at the Fermi level	4.92	states/eV/f.u.
space-group type	R3m
calculated density	7729	kg/m³
total moment	0.0	μB/cell
ΔH_f (0 K)	27	meV/atom
final energy	-18.0	eV for the cell shown
energy above the lowest structure with this stoichiometry	132.0	meV per atom


(8)
VASP calculation (GGA-PBE) on a geometry-optimized LaEr2Cu9 structure.

```
24
Lattice="5.275 0.000 0.000 -2.638 4.568 0.000 0.000 0.000 16.315" Properties=species:S:1:pos:R:3 pbc="T T T"
La 0.000 3.046 4.079
La 2.638 1.523 12.236
Er 0.000 3.046 0.536
Er 0.000 3.046 7.622
Er 2.638 1.523 8.693
Er 2.638 1.523 15.779
Cu 0.000 0.000 0.000
Cu 0.000 0.000 4.079
Cu 0.000 0.000 8.158
Cu 0.000 0.000 12.236
Cu 0.000 1.527 10.188
Cu 0.000 1.527 14.284
Cu -1.315 3.805 10.188
Cu -1.315 3.805 14.284
Cu 0.000 3.046 12.236
Cu 1.322 0.763 2.031
Cu 1.322 0.763 6.127
Cu 1.315 3.805 10.188
Cu 1.315 3.805 14.284
Cu 2.638 1.523 4.079
Cu 3.953 0.763 2.031
Cu 3.953 0.763 6.127
Cu 2.638 3.042 2.031
Cu 2.638 3.042 6.127
```

## Properties
density of states at the Fermi level	7.41	states/eV/f.u.
space-group type	P6_3/mmc
calculated density	8829	kg/m³
total moment	0.0	μB/cell
ΔH_f (0 K)	-193	meV/atom
final energy	-106.5	eV for the cell shown


(9)
VASP calculation (GGA-PBE) on a geometry-optimized LaErCu structure.

```
3
Lattice="-1.778 1.778 6.282 1.778 -1.778 6.282 1.778 1.778 -6.282" Properties=species:S:1:pos:R:3 pbc="T T T"
La 0.000 0.000 0.000
Er 0.000 0.000 3.480
Cu 0.000 0.000 8.320
```

## Properties
density of states at the Fermi level	3.68	states/eV/f.u.
space-group type	I4mm
calculated density	7728	kg/m³
total moment	0.0	μB/cell
ΔH_f (0 K)	-109	meV/atom
final energy	-13.9	eV for the cell shown


(10)
VASP calculation (GGA-PBE) on a geometry-optimized LaEr4Cu structure.

```
6
Lattice="3.534 0.000 0.000 0.000 3.534 0.000 0.000 0.000 13.571" Properties=species:S:1:pos:R:3 pbc="T T T"
La 0.000 0.000 0.000
Er 0.000 0.000 5.131
Er 0.000 0.000 8.440
Er 1.767 1.767 2.602
Er 1.767 1.767 10.969
Cu 1.767 1.767 6.786
```

## Properties
density of states at the Fermi level	8.68	states/eV/f.u.
space-group type	P4/mmm
calculated density	8540	kg/m³
total moment	0.0	μB/cell
ΔH_f (0 K)	-48	meV/atom
final energy	-27.6	eV for the cell shown


(11)
VASP calculation (GGA-PBE) on a geometry-optimized La2ErCu structure.

```
4
Lattice="1.772 1.023 11.064 -1.772 1.023 11.064 0.000 -2.047 11.064" Properties=species:S:1:pos:R:3 pbc="T T T"
La 0.000 0.000 3.347
La 0.000 0.000 29.845
Er 0.000 0.000 0.000
Cu 0.000 0.000 16.596
```

## Properties
density of states at the Fermi level	6.06	states/eV/f.u.
space-group type	R-3m
calculated density	7014	kg/m³
total moment	0.0	μB/cell
ΔH_f (0 K)	240	meV/atom
final energy	-17.6	eV for the cell shown
energy above the lowest structure with this stoichiometry	272.0	meV per atom


(12)
VASP calculation (GGA-PBE) on a geometry-optimized LaEr4Cu4 structure.

```
18
Lattice="9.040 0.000 0.000 0.000 9.040 0.000 0.000 0.000 5.582" Properties=species:S:1:pos:R:3 pbc="T T T"
La 2.260 2.260 1.396
La 6.780 6.780 4.187
Er 0.795 5.915 0.839
Er 1.395 8.245 3.630
Er 3.125 5.315 3.630
Er 3.725 7.645 0.839
Er 5.315 1.395 4.743
Er 5.915 3.725 1.952
Er 7.645 0.795 1.952
Er 8.245 3.125 4.743
Cu 0.323 5.432 3.568
Cu 0.912 8.717 0.777
Cu 3.609 4.844 0.777
Cu 4.197 8.129 3.568
Cu 4.844 0.912 2.014
Cu 5.432 4.197 4.805
Cu 8.129 0.323 4.805
Cu 8.717 3.609 2.014
```

## Properties
density of states at the Fermi level	11.72	states/eV/f.u.
space-group type	P4_2/n
calculated density	7732	kg/m³
total moment	0.0	μB/cell
ΔH_f (0 K)	-52	meV/atom
final energy	-80.1	eV for the cell shown


Which formula does entry 12 have?
LaEr4Cu4


Look up the final energy of the eighth one.
-106.5 eV for the cell shown


Which of these has the lowest density of states at the Fermi level?
LaErCu4